1.
SrTcIr | PBE-GGA | relaxed

## Properties
* energy above the most stable polymorph in this dataset: 0.000 eV per atom
* formation energy from the elements: 0.0 eV per formula unit
* magnetic moment: 0.00 μB/cell
* crystal system: monoclinic

a b c (Å): 4.5663 4.5663 6.9366
angles (deg): 90.09 90.09 81.94
With the nearest neighbours (Å) after each atom.
Fractional coordinates of all 6 atoms:
Sr (0.2433, 0.2433, 0.1524)  4 Tc 3.27-3.38, 5 Ir 3.30-3.47
Sr (0.7567, 0.7567, 0.8476)  4 Tc 3.27-3.38, 5 Ir 3.30-3.47
Tc (0.2795, 0.7205, 0.5000)  4 Ir 2.48-2.59, 1 Tc 2.64
Tc (0.7205, 0.2795, 0.5000)  4 Ir 2.48-2.59, 1 Tc 2.64
Ir (0.2166, 0.2166, 0.6523)  4 Tc 2.48-2.59
Ir (0.7834, 0.7834, 0.3477)  4 Tc 2.48-2.59

---

2.
La12Dy3Mg | PBE-GGA | relaxed

## Properties
* formation energy from the elements: 0.0 eV per formula unit
* magnetic moment: 0.00 μB/cell
* crystal system: tetragonal

a b c (Å): 5.1857 5.1857 20.8230
angles (deg): 90.00 90.00 90.00
With the nearest neighbours (Å) after each atom.
Fractional coordinates of all 16 atoms:
La (0.0000, 0.0000, 0.0000)  8 La 3.65, 4 Mg 3.67
La (0.0000, 0.0000, 0.2485)  4 Dy 3.67, 8 La 3.67-3.68
La (0.0000, 0.0000, 0.5000)  4 Dy 3.67, 8 La 3.69
La (0.0000, 0.0000, 0.7515)  4 Dy 3.67, 8 La 3.67-3.68
La (0.0000, 0.5000, 0.1237)  8 La 3.65-3.67, 2 Mg 3.65, 2 Dy 3.66
La (0.0000, 0.5000, 0.3742)  8 La 3.67-3.69, 4 Dy 3.69
La (0.0000, 0.5000, 0.6258)  8 La 3.67-3.69, 4 Dy 3.69
La (0.0000, 0.5000, 0.8763)  8 La 3.65-3.67, 2 Mg 3.65, 2 Dy 3.66
La (0.5000, 0.0000, 0.1237)  8 La 3.65-3.67, 2 Mg 3.65, 2 Dy 3.66
La (0.5000, 0.0000, 0.3742)  8 La 3.67-3.69, 4 Dy 3.69
La (0.5000, 0.0000, 0.6258)  8 La 3.67-3.69, 4 Dy 3.69
La (0.5000, 0.0000, 0.8763)  8 La 3.65-3.67, 2 Mg 3.65, 2 Dy 3.66
Dy (0.5000, 0.5000, 0.2480)  12 La 3.66-3.69
Dy (0.5000, 0.5000, 0.5000)  12 La 3.67-3.69
Dy (0.5000, 0.5000, 0.7520)  12 La 3.66-3.69
Mg (0.5000, 0.5000, 0.0000)  12 La 3.65-3.67

---

3.
TaAuSe2 | PBE-GGA | relaxed

## Properties
* energy above the most stable polymorph in this dataset: 0.810 eV per atom
* magnetic moment: 0.00 μB/cell
* crystal system: cubic
* uncorrected formation energy: 0.39 eV per atom

a b c (Å): 4.7439 4.7439 4.7439
angles (deg): 60.00 60.00 60.00
With the nearest neighbours (Å) after each atom.
Fractional coordinates of all 4 atoms:
Ta (0.0000, 0.0000, 0.0000)  4 Se 2.91, 4 Au 2.91
Au (0.2500, 0.2500, 0.2500)  4 Ta 2.91, 4 Se 2.91
Se (0.5000, 0.5000, 0.5000)  4 Se 2.91, 4 Au 2.91
Se (0.7500, 0.7500, 0.7500)  4 Ta 2.91, 4 Se 2.91

---

4.
BaZnCdBi3 | PBE-GGA | relaxed

## Properties
* formation energy from the elements: -1.2 eV per formula unit
* magnetic moment: 0.00 μB/cell
* crystal system: orthorhombic

a b c (Å): 9.5470 9.5470 7.0655
angles (deg): 90.00 90.00 136.28
With the nearest neighbours (Å) after each atom.
Fractional coordinates of all 12 atoms:
Ba (0.1969, 0.8031, 0.7500)  4 Bi 3.62-3.72, 2 Cd 3.95, 2 Zn 4.01
Ba (0.8031, 0.1969, 0.2500)  4 Bi 3.62-3.72, 2 Cd 3.95, 2 Zn 4.01
Zn (0.0893, 0.9107, 0.2500)  5 Bi 2.68-2.93
Zn (0.9107, 0.0893, 0.7500)  5 Bi 2.68-2.93
Cd (0.4004, 0.5996, 0.2500)  5 Bi 2.83-3.10
Cd (0.5996, 0.4004, 0.7500)  5 Bi 2.83-3.10
Bi (0.2412, 0.2412, 0.0000)  2 Zn 2.93, 2 Cd 3.10
Bi (0.2412, 0.2412, 0.5000)  2 Zn 2.93, 2 Cd 3.10
Bi (0.2406, 0.7594, 0.2500)  1 Zn 2.68, 1 Cd 2.83
Bi (0.7594, 0.2406, 0.7500)  1 Zn 2.68, 1 Cd 2.83
Bi (0.7588, 0.7588, 0.0000)  2 Zn 2.93, 2 Cd 3.10
Bi (0.7588, 0.7588, 0.5000)  2 Zn 2.93, 2 Cd 3.10

---

5.
Tl5Cu3Pt12 | PBE-GGA | relaxed

## Properties
* formation energy from the elements: 8.7 eV per formula unit
* magnetic moment: 0.00 μB/cell
* crystal system: cubic

a b c (Å): 13.2357 13.2357 13.2357
angles (deg): 109.47 109.47 109.47
With the nearest neighbours (Å) after each atom.
Fractional coordinates of all 80 atoms:
Tl (0.0000, 0.0000, 0.0000)  6 Pt 2.65
Tl (0.0000, 0.0000, 0.5000)  6 Pt 2.65
Tl (0.0000, 0.5000, 0.0000)  6 Pt 2.65
Tl (0.0000, 0.5000, 0.5000)  6 Pt 2.65
Tl (0.1250, 0.7500, 0.8750)  4 Pt 2.73
Tl (0.1250, 0.8750, 0.2500)  4 Pt 2.73
Tl (0.2500, 0.1250, 0.8750)  4 Pt 2.73
Tl (0.2500, 0.6250, 0.3750)  4 Pt 2.73
Tl (0.3750, 0.2500, 0.6250)  4 Pt 2.73
Tl (0.3750, 0.6250, 0.7500)  4 Pt 2.73
Tl (0.5000, 0.0000, 0.0000)  6 Pt 2.65
Tl (0.5000, 0.0000, 0.5000)  6 Pt 2.65
Tl (0.5000, 0.5000, 0.0000)  6 Pt 2.65
Tl (0.5000, 0.5000, 0.5000)  6 Pt 2.65
Tl (0.6250, 0.3750, 0.2500)  4 Pt 2.73
Tl (0.6250, 0.7500, 0.3750)  4 Pt 2.73
Tl (0.7500, 0.3750, 0.6250)  4 Pt 2.73
Tl (0.7500, 0.8750, 0.1250)  4 Pt 2.73
Tl (0.8750, 0.1250, 0.7500)  4 Pt 2.73
Tl (0.8750, 0.2500, 0.1250)  4 Pt 2.73
Cu (0.1250, 0.2500, 0.3750)  4 Pt 2.48
Cu (0.1250, 0.3750, 0.7500)  4 Pt 2.48
Cu (0.2500, 0.3750, 0.1250)  4 Pt 2.48
Cu (0.2500, 0.8750, 0.6250)  4 Pt 2.48
Cu (0.3750, 0.1250, 0.2500)  4 Pt 2.48
Cu (0.3750, 0.7500, 0.1250)  4 Pt 2.48
Cu (0.6250, 0.2500, 0.8750)  4 Pt 2.48
Cu (0.6250, 0.8750, 0.7500)  4 Pt 2.48
Cu (0.7500, 0.1250, 0.3750)  4 Pt 2.48
Cu (0.7500, 0.6250, 0.8750)  4 Pt 2.48
Cu (0.8750, 0.6250, 0.2500)  4 Pt 2.48
Cu (0.8750, 0.7500, 0.6250)  4 Pt 2.48
Pt (0.0592, 0.6404, 0.4025)  1 Cu 2.48, 1 Pt 2.61, 2 Tl 2.65-2.73
Pt (0.0592, 0.9187, 0.6567)  1 Cu 2.48, 1 Pt 2.61, 2 Tl 2.65-2.73
Pt (0.0813, 0.2379, 0.1404)  1 Cu 2.48, 1 Pt 2.61, 2 Tl 2.65-2.73
Pt (0.0813, 0.3433, 0.9408)  1 Cu 2.48, 1 Pt 2.61, 2 Tl 2.65-2.73
Pt (0.0975, 0.7379, 0.6567)  1 Cu 2.48, 1 Pt 2.61, 2 Tl 2.65-2.73
Pt (0.0975, 0.8596, 0.4408)  1 Cu 2.48, 1 Pt 2.61, 2 Tl 2.65-2.73
Pt (0.1404, 0.0813, 0.2379)  1 Cu 2.48, 1 Pt 2.61, 2 Tl 2.65-2.73
Pt (0.1404, 0.5592, 0.9025)  1 Cu 2.48, 1 Pt 2.61, 2 Tl 2.65-2.73
Pt (0.1567, 0.2379, 0.5975)  1 Cu 2.48, 1 Pt 2.61, 2 Tl 2.65-2.73
Pt (0.1567, 0.4187, 0.5592)  1 Cu 2.48, 1 Pt 2.61, 2 Tl 2.65-2.73
Pt (0.2379, 0.1404, 0.0813)  1 Cu 2.48, 1 Pt 2.61, 2 Tl 2.65-2.73
Pt (0.2379, 0.5975, 0.1567)  1 Cu 2.48, 1 Pt 2.61, 2 Tl 2.65-2.73
Pt (0.2621, 0.3433, 0.9025)  1 Cu 2.48, 1 Pt 2.61, 2 Tl 2.65-2.73
Pt (0.2621, 0.4187, 0.3596)  1 Cu 2.48, 1 Pt 2.61, 2 Tl 2.65-2.73
Pt (0.3433, 0.9025, 0.2621)  1 Cu 2.48, 1 Pt 2.61, 2 Tl 2.65-2.73
Pt (0.3433, 0.9408, 0.0813)  1 Cu 2.48, 1 Pt 2.61, 2 Tl 2.65-2.73
Pt (0.3596, 0.2621, 0.4187)  1 Cu 2.48, 1 Pt 2.61, 2 Tl 2.65-2.73
Pt (0.3596, 0.5975, 0.9408)  1 Cu 2.48, 1 Pt 2.61, 2 Tl 2.65-2.73
Pt (0.4025, 0.0592, 0.6404)  1 Cu 2.48, 1 Pt 2.61, 2 Tl 2.65-2.73
Pt (0.4025, 0.8433, 0.7621)  1 Cu 2.48, 1 Pt 2.61, 2 Tl 2.65-2.73
Pt (0.4187, 0.3596, 0.2621)  1 Cu 2.48, 1 Pt 2.61, 2 Tl 2.65-2.73
Pt (0.4187, 0.5592, 0.1567)  1 Cu 2.48, 1 Pt 2.61, 2 Tl 2.65-2.73
Pt (0.4408, 0.0975, 0.8596)  1 Cu 2.48, 1 Pt 2.61, 2 Tl 2.65-2.73
Pt (0.4408, 0.8433, 0.5813)  1 Cu 2.48, 1 Pt 2.61, 2 Tl 2.65-2.73
Pt (0.5592, 0.1567, 0.4187)  1 Cu 2.48, 1 Pt 2.61, 2 Tl 2.65-2.73
Pt (0.5592, 0.9025, 0.1404)  1 Cu 2.48, 1 Pt 2.61, 2 Tl 2.65-2.73
Pt (0.5813, 0.4408, 0.8433)  1 Cu 2.48, 1 Pt 2.61, 2 Tl 2.65-2.73
Pt (0.5813, 0.6404, 0.7379)  1 Cu 2.48, 1 Pt 2.61, 2 Tl 2.65-2.73
Pt (0.5975, 0.1567, 0.2379)  1 Cu 2.48, 1 Pt 2.61, 2 Tl 2.65-2.73
Pt (0.5975, 0.9408, 0.3596)  1 Cu 2.48, 1 Pt 2.61, 2 Tl 2.65-2.73
Pt (0.6404, 0.4025, 0.0592)  1 Cu 2.48, 1 Pt 2.61, 2 Tl 2.65-2.73
Pt (0.6404, 0.7379, 0.5813)  1 Cu 2.48, 1 Pt 2.61, 2 Tl 2.65-2.73
Pt (0.6567, 0.0592, 0.9187)  1 Cu 2.48, 1 Pt 2.61, 2 Tl 2.65-2.73
Pt (0.6567, 0.0975, 0.7379)  1 Cu 2.48, 1 Pt 2.61, 2 Tl 2.65-2.73
Pt (0.7379, 0.5813, 0.6404)  1 Cu 2.48, 1 Pt 2.61, 2 Tl 2.65-2.73
Pt (0.7379, 0.6567, 0.0975)  1 Cu 2.48, 1 Pt 2.61, 2 Tl 2.65-2.73
Pt (0.7621, 0.4025, 0.8433)  1 Cu 2.48, 1 Pt 2.61, 2 Tl 2.65-2.73
Pt (0.7621, 0.8596, 0.9187)  1 Cu 2.48, 1 Pt 2.61, 2 Tl 2.65-2.73
Pt (0.8433, 0.5813, 0.4408)  1 Cu 2.48, 1 Pt 2.61, 2 Tl 2.65-2.73
Pt (0.8433, 0.7621, 0.4025)  1 Cu 2.48, 1 Pt 2.61, 2 Tl 2.65-2.73
Pt (0.8596, 0.4408, 0.0975)  1 Cu 2.48, 1 Pt 2.61, 2 Tl 2.65-2.73
Pt (0.8596, 0.9187, 0.7621)  1 Cu 2.48, 1 Pt 2.61, 2 Tl 2.65-2.73
Pt (0.9025, 0.1404, 0.5592)  1 Cu 2.48, 1 Pt 2.61, 2 Tl 2.65-2.73
Pt (0.9025, 0.2621, 0.3433)  1 Cu 2.48, 1 Pt 2.61, 2 Tl 2.65-2.73
Pt (0.9187, 0.6567, 0.0592)  1 Cu 2.48, 1 Pt 2.61, 2 Tl 2.65-2.73
Pt (0.9187, 0.7621, 0.8596)  1 Cu 2.48, 1 Pt 2.61, 2 Tl 2.65-2.73
Pt (0.9408, 0.0813, 0.3433)  1 Cu 2.48, 1 Pt 2.61, 2 Tl 2.65-2.73
Pt (0.9408, 0.3596, 0.5975)  1 Cu 2.48, 1 Pt 2.61, 2 Tl 2.65-2.73

---

6.
Pr3As2Br | PBE-GGA | relaxed

## Properties
* magnetic moment: 1.82 μB/cell
* crystal system: orthorhombic
* uncorrected formation energy: -1.13 eV per atom

a b c (Å): 7.4974 7.4974 11.1350
angles (deg): 90.00 90.00 146.10
With the nearest neighbours (Å) after each atom.
Fractional coordinates of all 12 atoms:
Pr (0.1066, 0.8934, 0.7500)  2 Br 2.92, 4 As 2.99-3.18
Pr (0.3511, 0.6489, 0.5486)  1 Br 2.83, 2 As 3.10
Pr (0.3511, 0.6489, 0.9514)  1 Br 2.83, 2 As 3.10
Pr (0.6489, 0.3511, 0.0486)  1 Br 2.83, 2 As 3.10
Pr (0.6489, 0.3511, 0.4514)  1 Br 2.83, 2 As 3.10
Pr (0.8934, 0.1066, 0.2500)  2 Br 2.92, 4 As 2.99-3.18
As (0.0000, 0.0000, 0.0000)  6 Pr 3.10-3.18
As (0.0000, 0.0000, 0.5000)  6 Pr 3.10-3.18
As (0.2510, 0.7490, 0.2500)  2 Pr 2.99
As (0.7490, 0.2510, 0.7500)  2 Pr 2.99
Br (0.4718, 0.5282, 0.7500)  4 Pr 2.83-2.92
Br (0.5282, 0.4718, 0.2500)  4 Pr 2.83-2.92

---

7.
AlSiSnS2 | PBE-GGA | relaxed

## Properties
* magnetic moment: 0.00 μB/cell
* crystal system: tetragonal
* uncorrected formation energy: 0.87 eV per atom

a b c (Å): 5.0851 5.0851 5.1485
angles (deg): 90.00 90.00 90.00
With the nearest neighbours (Å) after each atom.
Fractional coordinates of all 5 atoms:
Al (0.0000, 0.0000, 0.0000)  2 Sn 2.57
Si (0.5000, 0.5000, 0.0000)  4 Al 3.60, 8 S 3.62
Sn (0.0000, 0.0000, 0.5000)  4 S 2.54, 2 Al 2.57
S (0.0000, 0.5000, 0.5000)  2 Sn 2.54
S (0.5000, 0.0000, 0.5000)  2 Sn 2.54

---

8.
ScTaTi2O | PBE-GGA | relaxed

## Properties
* magnetic moment: 0.00 μB/cell
* crystal system: tetragonal
* uncorrected formation energy: -1.03 eV per atom

a b c (Å): 4.2219 4.2219 4.3247
angles (deg): 90.00 90.00 90.00
With the nearest neighbours (Å) after each atom.
Fractional coordinates of all 5 atoms:
Sc (0.0000, 0.0000, 0.0000)  2 O 2.16
Ta (0.5000, 0.5000, 0.0000)  4 Sc 2.99, 8 Ti 3.02
Ti (0.0000, 0.5000, 0.5000)  2 O 2.11
Ti (0.5000, 0.0000, 0.5000)  2 O 2.11
O (0.0000, 0.0000, 0.5000)  4 Ti 2.11, 2 Sc 2.16

---

Number 1: Fermi-level density of states 1.9 states/eV/f.u., calculated total energy -6.967 eV per atom. Number 2: Fermi-level density of states 21.8 states/eV/f.u., calculated total energy -4.657 eV per atom. Number 3: Fermi-level density of states 2.1 states/eV/f.u., calculated total energy -5.135 eV per atom. Number 4: Fermi-level density of states 2.3 states/eV/f.u., calculated total energy -2.832 eV per atom. Number 5: Fermi-level density of states 14.7 states/eV/f.u., calculated total energy -4.396 eV per atom. Number 6: Fermi-level density of states 3.9 states/eV/f.u., calculated total energy -5.350 eV per atom. Number 7: Fermi-level density of states 5.1 states/eV/f.u., calculated total energy -3.416 eV per atom. Number 8: Fermi-level density of states 3.3 states/eV/f.u., calculated total energy -8.815 eV per atom.